Record 1
# RbSn3Sb2

A geometry-optimized RbSn3Sb2 structure (PBE, Alexandria via LeMat-Bulk).

Values from the calculation:
Volume = 212 Å³/f.u.
Raw formation energy = -146 meV per atom

a b c (Å): 9.0842 9.0842 11.3126
angles (deg): 106.86 106.86 28.35
Last column: nearest neighbours and their distance in Å.
Fractional positions:
Rb  0.1253  0.1253  0.0361  7 Sb 3.70-3.93
Rb  0.8747  0.8747  0.9639  7 Sb 3.70-3.93
Sn  0.0699  0.0699  0.4119  2 Sb 3.04, 4 Sn 3.24-3.39
Sn  0.2969  0.2969  0.5918  1 Sb 2.91, 4 Sn 3.15-3.24
Sn  0.3922  0.3922  0.3517  3 Sb 2.97-3.00
Sn  0.6078  0.6078  0.6483  3 Sb 2.97-3.00
Sn  0.7031  0.7031  0.4082  1 Sb 2.91, 4 Sn 3.15-3.24
Sn  0.9301  0.9301  0.5881  2 Sb 3.04, 4 Sn 3.24-3.39
Sb  0.2122  0.2122  0.7763  3 Sn 2.91-2.97
Sb  0.4821  0.4821  0.7777  4 Sn 3.00-3.31
Sb  0.5179  0.5179  0.2223  4 Sn 3.00-3.31
Sb  0.7878  0.7878  0.2237  3 Sn 2.91-2.97

---

Record 2
# Li2CdHg6

A geometry-optimized Li2CdHg6 structure (PBE, Alexandria via LeMat-Bulk).

Values from the calculation:
Volume = 202 Å³/f.u.
Uncorrected energy = -0.886 eV per atom

a b c (Å): 9.5111 7.5024 6.6552
angles (deg): 84.19 51.70 44.12
Last column: nearest neighbours and their distance in Å.
Fractional positions:
Li  0.1584  0.1584  0.8416  8 Hg 2.93-3.06, 2 Cd 3.19
Li  0.8416  0.8416  0.1584  8 Hg 2.93-3.06, 2 Cd 3.19
Cd  0.5000  0.5000  0.5000  8 Hg 3.05-3.10, 4 Li 3.19
Hg  0.1639  0.8361  0.1639  2 Cd 3.05, 2 Li 3.06, 6 Hg 3.12-3.36
Hg  0.1781  0.4749  0.5251  3 Li 2.93-3.04, 1 Cd 3.10, 2 Hg 3.14
Hg  0.4749  0.1781  0.8219  3 Li 2.93-3.04, 1 Cd 3.10, 2 Hg 3.14
Hg  0.5251  0.8219  0.1781  3 Li 2.93-3.04, 1 Cd 3.10, 2 Hg 3.14
Hg  0.8219  0.5251  0.4749  3 Li 2.93-3.04, 1 Cd 3.10, 2 Hg 3.14
Hg  0.8361  0.1639  0.8361  2 Cd 3.05, 2 Li 3.06, 6 Hg 3.12-3.36

---

Record 3
# Tm2In9Pb

A geometry-optimized Tm2In9Pb structure (PBE, Alexandria via LeMat-Bulk).

Values from the calculation:
Volume = 311 Å³/f.u.
Uncorrected energy = -3.302 eV per atom

a b c (Å): 4.6608 4.6608 14.2943
angles (deg): 90.00 90.00 90.00
Last column: nearest neighbours and their distance in Å.
Fractional positions:
Tm  0.0000  0.0000  0.1595  12 In 3.26-3.32
Tm  0.0000  0.0000  0.8405  12 In 3.26-3.32
In  0.0000  0.5000  0.0000  4 Tm 3.26, 8 In 3.29-3.30
In  0.0000  0.5000  0.3251  8 In 3.29-3.42, 2 Tm 3.32, 2 Pb 3.42
In  0.0000  0.5000  0.6749  8 In 3.29-3.42, 2 Tm 3.32, 2 Pb 3.42
In  0.5000  0.0000  0.0000  4 Tm 3.26, 8 In 3.29-3.30
In  0.5000  0.0000  0.3251  8 In 3.29-3.42, 2 Tm 3.32, 2 Pb 3.42
In  0.5000  0.0000  0.6749  8 In 3.29-3.42, 2 Tm 3.32, 2 Pb 3.42
In  0.5000  0.5000  0.1621  8 In 3.29, 4 Tm 3.30
In  0.5000  0.5000  0.5000  4 Pb 3.30, 8 In 3.42
In  0.5000  0.5000  0.8379  8 In 3.29, 4 Tm 3.30
Pb  0.0000  0.0000  0.5000  12 In 3.30-3.42

---

Record 4
# Cr3InAs

A geometry-optimized Cr3InAs structure (PBE, Alexandria via LeMat-Bulk).

Values from the calculation:
Volume = 126 Å³/f.u.
Uncorrected energy = -5.765 eV per atom

a b c (Å): 5.0101 5.0101 5.0101
angles (deg): 90.00 90.00 90.00
Last column: nearest neighbours and their distance in Å.
Fractional positions:
Cr  0.0000  0.0000  0.5000  2 In 2.51
Cr  0.0000  0.5000  0.0000  2 In 2.51
Cr  0.5000  0.0000  0.0000  2 In 2.51
In  0.0000  0.0000  0.0000  6 Cr 2.51
As  0.5000  0.5000  0.5000  12 Cr 3.54

---

Record 5
# Ho2TiZn2Rh5

A geometry-optimized Ho2TiZn2Rh5 structure (PBE, Alexandria via LeMat-Bulk).

Values from the calculation:
Volume = 167 Å³/f.u.
Uncorrected energy = -6.310 eV per atom

a b c (Å): 9.8367 9.8367 3.4595
angles (deg): 90.00 90.00 90.00
Last column: nearest neighbours and their distance in Å.
Fractional positions:
Ho  0.1710  0.3290  0.0000  3 Zn 2.80-2.97, 6 Rh 2.94-3.13
Ho  0.3290  0.8290  0.0000  3 Zn 2.80-2.97, 6 Rh 2.94-3.13
Ho  0.6710  0.1710  0.0000  3 Zn 2.80-2.97, 6 Rh 2.94-3.13
Ho  0.8290  0.6710  0.0000  3 Zn 2.80-2.97, 6 Rh 2.94-3.13
Ti  0.0000  0.0000  0.0000  8 Rh 2.67
Ti  0.5000  0.5000  0.0000  8 Rh 2.67
Zn  0.1277  0.6277  0.0000  6 Rh 2.48-2.52
Zn  0.3723  0.1277  0.0000  6 Rh 2.48-2.52
Zn  0.6277  0.8723  0.0000  6 Rh 2.48-2.52
Zn  0.8723  0.3723  0.0000  6 Rh 2.48-2.52
Rh  0.0000  0.5000  0.5000  4 Zn 2.48
Rh  0.0647  0.8032  0.5000  2 Zn 2.52, 2 Ti 2.67
Rh  0.1968  0.0647  0.5000  2 Zn 2.52, 2 Ti 2.67
Rh  0.3032  0.5647  0.5000  2 Zn 2.52, 2 Ti 2.67
Rh  0.4353  0.3032  0.5000  2 Zn 2.52, 2 Ti 2.67
Rh  0.5000  0.0000  0.5000  4 Zn 2.48
Rh  0.5647  0.6968  0.5000  2 Zn 2.52, 2 Ti 2.67
Rh  0.6968  0.4353  0.5000  2 Zn 2.52, 2 Ti 2.67
Rh  0.8032  0.9353  0.5000  2 Zn 2.52, 2 Ti 2.67
Rh  0.9353  0.1968  0.5000  2 Zn 2.52, 2 Ti 2.67

---

Record 6
# SrYBeAu2

A geometry-optimized SrYBeAu2 structure (PBE, Alexandria via LeMat-Bulk).

Values from the calculation:
Volume = 191 Å³/f.u.
Uncorrected energy = -2.405 eV per atom

a b c (Å): 5.4909 5.4909 6.3275
angles (deg): 90.00 90.00 90.00
Last column: nearest neighbours and their distance in Å.
Fractional positions:
Sr  0.0000  0.0000  0.0000  4 Au 2.75
Y  0.0000  0.0000  0.5000  2 Sr 3.16
Be  0.5000  0.5000  0.5000  4 Y 3.88, 8 Au 4.19
Au  0.0000  0.5000  0.0000  2 Sr 2.75
Au  0.5000  0.0000  0.0000  2 Sr 2.75

---

Record 7
# InCoAu2

A geometry-optimized InCoAu2 structure (PBE, Alexandria via LeMat-Bulk).

Values from the calculation:
Volume = 68 Å³/f.u.
Uncorrected energy = -3.983 eV per atom

a b c (Å): 3.2675 3.2675 6.3773
angles (deg): 90.00 90.00 90.00
Last column: nearest neighbours and their distance in Å.
Fractional positions:
In  0.0000  0.0000  0.0000  4 Co 2.71, 5 Au 2.87-2.91
Co  0.5000  0.5000  0.7767  4 In 2.71, 4 Au 2.73
Au  0.0000  0.0000  0.5501  4 Co 2.73, 1 In 2.87, 4 Au 2.89
Au  0.5000  0.5000  0.2768  4 Au 2.89, 4 In 2.91, 2 Co 3.19

---

Record 8
# TbGdZnGa

A geometry-optimized TbGdZnGa structure (PBE, Alexandria via LeMat-Bulk).

Values from the calculation:
Volume = 93 Å³/f.u.
Uncorrected energy = -6.232 eV per atom

a b c (Å): 5.0926 5.0926 5.0926
angles (deg): 60.00 60.00 60.00
Last column: nearest neighbours and their distance in Å.
Fractional positions:
Tb  0.0000  0.0000  0.0000  4 Zn 3.12, 4 Ga 3.12
Gd  0.5000  0.5000  0.5000  4 Zn 3.12, 4 Ga 3.12
Zn  0.7500  0.7500  0.7500  4 Gd 3.12, 4 Tb 3.12
Ga  0.2500  0.2500  0.2500  4 Gd 3.12, 4 Tb 3.12

---

Record 9
# BeTc2RhSe

A geometry-optimized BeTc2RhSe structure (PBE, Alexandria via LeMat-Bulk).

Values from the calculation:
Volume = 107 Å³/f.u.
Raw formation energy = 1811 meV per atom

a b c (Å): 4.7566 4.7566 4.7153
angles (deg): 90.00 90.00 90.00
Last column: nearest neighbours and their distance in Å.
Fractional positions:
Be  0.0000  0.0000  0.0000  8 Tc 3.35, 4 Se 3.36
Tc  0.0000  0.5000  0.5000  2 Rh 2.38
Tc  0.5000  0.0000  0.5000  2 Rh 2.38
Rh  0.5000  0.5000  0.5000  2 Se 2.36, 4 Tc 2.38
Se  0.5000  0.5000  0.0000  2 Rh 2.36

---

Record 10
# Dy4CoBi2

A geometry-optimized Dy4CoBi2 structure (PBE, Alexandria via LeMat-Bulk).

Values from the calculation:
Volume = 196 Å³/f.u.
Uncorrected energy = -5.188 eV per atom

a b c (Å): 6.6933 6.6491 9.3927
angles (deg): 90.00 110.20 90.00
Last column: nearest neighbours and their distance in Å.
Fractional positions:
Dy  0.0327  0.9996  0.2622  1 Co 2.58
Dy  0.0327  0.5004  0.2622  1 Co 2.58
Dy  0.3690  0.2500  0.0768  1 Co 2.44
Dy  0.4131  0.2500  0.6129  1 Co 2.53
Dy  0.5869  0.7500  0.3871  1 Co 2.53
Dy  0.6310  0.7500  0.9232  1 Co 2.44
Dy  0.9673  0.0004  0.7378  1 Co 2.58
Dy  0.9673  0.4996  0.7378  1 Co 2.58
Co  0.3456  0.2500  0.3306  4 Dy 2.44-2.58, 1 Bi 2.63
Co  0.6544  0.7500  0.6694  4 Dy 2.44-2.58, 1 Bi 2.63
Bi  0.2298  0.7500  0.0464  8 Dy 3.23-3.44
Bi  0.2351  0.7500  0.5712  1 Co 2.63
Bi  0.7649  0.2500  0.4288  1 Co 2.63
Bi  0.7702  0.2500  0.9536  8 Dy 3.23-3.44

---

Look up the volume of the fifth one.
167 Å³/f.u.